The following is a DFT calculation (PBE-GGA) of a relaxed structure of CdGe2Pt.

CIF file:
```
data_CdGe2Pt
_chemical_formula_sum 'Cd4 Ge8 Pt4'
_space_group_name_H-M_alt 'F -4 3 m'
_space_group_IT_number 216
_space_group_name_Hall 'F -4 2 3'
_cell_length_a 6.642
_cell_length_b 6.642
_cell_length_c 6.642
_cell_angle_alpha 90.00
_cell_angle_beta 90.00
_cell_angle_gamma 90.00
loop_
_atom_site_label
_atom_site_fract_x
_atom_site_fract_y
_atom_site_fract_z
_atom_site_occupancy
Cd1 0.000 0.000 0.000 1
Ge1 0.000 0.000 0.500 1
Ge2 0.250 0.250 0.250 1
Pt1 0.250 0.250 0.750 1
```

=====

The following is a DFT calculation (PBE-GGA) of a relaxed structure of Cd2GePt.

CIF file:
```
data_Cd2GePt
_chemical_formula_sum 'Cd8 Ge4 Pt4'
_space_group_name_H-M_alt 'F -4 3 m'
_space_group_IT_number 216
_space_group_name_Hall 'F -4 2 3'
_cell_length_a 6.722
_cell_length_b 6.722
_cell_length_c 6.722
_cell_angle_alpha 90.00
_cell_angle_beta 90.00
_cell_angle_gamma 90.00
loop_
_atom_site_label
_atom_site_fract_x
_atom_site_fract_y
_atom_site_fract_z
_atom_site_occupancy
Cd1 0.000 0.000 0.000 1
Cd2 0.250 0.250 0.250 1
Ge1 0.000 0.000 0.500 1
Pt1 0.250 0.250 0.750 1
```

=====

| no. | total energy (eV per atom) |
| --- | --- |
| 1 | -3.94 |
| 2 | -3.09 |